An optimized crystal structure of LiTm2Tl2, computed with PBE-GGA.

```
10
Lattice="6.176 0.000 0.000 0.000 6.349 0.000 -3.088 -3.174 6.477" Properties=species:S:1:pos:R:3 pbc="T T T"
Li 4.632 3.174 0.000
Li 1.544 3.174 0.000
Tm 3.088 1.490 4.171
Tm 0.000 1.684 2.306
Tm 3.088 4.665 2.306
Tm 0.000 -1.490 4.171
Tl 0.000 1.942 5.375
Tl 3.088 1.232 1.102
Tl 0.000 5.117 1.102
Tl 3.088 -1.942 5.375
```

Final energy (eV/cell): -32.22
Magnetization (μB/cell): 0.00
E_form (kcal/mol of atoms): -2.4

An optimized crystal structure of LiTm8Tl2, computed with PBE-GGA.

```
11
Lattice="-2.282 0.385 4.648 2.714 -5.995 1.829 7.430 5.370 0.303" Properties=species:S:1:pos:R:3 pbc="T T T"
Li -1.141 0.192 2.324
Tm 6.638 1.242 3.156
Tm 3.392 -3.733 4.874
Tm 4.839 -0.691 5.333
Tm 5.475 4.043 5.253
Tm 3.023 0.450 1.447
Tm 4.471 3.492 1.905
Tm 1.224 -1.483 3.624
Tm 2.387 -4.283 1.526
Tl 3.359 1.826 4.398
Tl 4.503 -2.067 2.382
```

Final energy (eV/cell): -43.10
Magnetization (μB/cell): 0.00
E_form (kcal/mol of atoms): -1.4

An optimized crystal structure of LiTmTl2, computed with PBE-GGA.

```
4
Lattice="-0.219 1.843 -3.323 -4.915 -1.153 -0.316 -1.159 4.274 2.446" Properties=species:S:1:pos:R:3 pbc="T T T"
Tl -0.580 2.137 1.223
Tl -2.458 -0.576 -0.158
Tm -3.147 2.482 -0.596
Li -0.109 0.921 -1.661
```

Final energy (eV/cell): -12.29
Magnetization (μB/cell): 0.00
Relative energy among the computed polymorphs (meV/atom): 0
E_form (kcal/mol of atoms): -6.8

An optimized crystal structure of LiTmTl2, computed with PBE-GGA.

```
4
Lattice="3.549 0.000 0.000 1.775 3.074 0.000 1.775 1.025 9.376" Properties=species:S:1:pos:R:3 pbc="T T T"
Li 3.549 2.049 4.693
Tm 3.549 2.049 0.000
Tl 1.775 1.025 6.829
Tl 1.775 1.025 2.541
```

Final energy (eV/cell): -11.74
Magnetization (μB/cell): 0.00
Relative energy among the computed polymorphs (meV/atom): 138
E_form (kcal/mol of atoms): -3.6

An optimized crystal structure of LiTmTl, computed with PBE-GGA.

```
6
Lattice="4.850 0.000 0.000 -2.425 4.201 0.000 0.000 0.000 6.838" Properties=species:S:1:pos:R:3 pbc="T T T"
Tl 2.425 1.401 5.129
Tl 0.000 2.800 1.710
Tm 0.000 0.000 3.419
Tm 0.000 0.000 0.000
Li 2.425 1.399 1.710
Li 0.000 2.802 5.129
```

Final energy (eV/cell): -19.04
Magnetization (μB/cell): 0.00
Relative energy among the computed polymorphs (meV/atom): 0
E_form (kcal/mol of atoms): -5.9

An optimized crystal structure of LiTmTl2, computed with PBE-GGA.

```
4
Lattice="-3.113 1.297 1.056 -2.947 -1.897 -0.446 -0.757 -4.190 8.828" Properties=species:S:1:pos:R:3 pbc="T T T"
Tl -5.091 -3.664 7.231
Tl -1.727 -1.127 2.207
Tm -3.409 -2.395 4.719
Li 0.000 0.000 0.000
```

Final energy (eV/cell): -11.61
Magnetization (μB/cell): 0.00
Relative energy among the computed polymorphs (meV/atom): 170
E_form (kcal/mol of atoms): -2.8

An optimized crystal structure of LiTm5Tl3, computed with PBE-GGA.

```
18
Lattice="-0.997 -6.375 -1.289 0.842 -1.929 8.886 -8.204 1.988 -3.483" Properties=species:S:1:pos:R:3 pbc="T T T"
Li 0.000 0.000 0.000
Li -0.499 -3.187 -0.645
Tm -2.173 -0.623 4.763
Tm -5.687 -2.505 -0.005
Tm -5.188 0.682 0.640
Tm -2.672 -3.811 4.118
Tm -5.860 -4.740 2.785
Tm -3.255 -4.174 -2.031
Tm -0.490 -5.370 1.748
Tm -2.499 -1.576 1.329
Tm -5.104 -2.142 6.145
Tm 0.336 -2.933 5.849
Tl -3.351 -4.760 0.943
Tl -5.208 -5.425 5.667
Tl -0.203 -6.028 4.778
Tl -5.007 -1.556 3.171
Tl -3.150 -0.891 -1.554
Tl 0.049 -2.276 2.819
```

Final energy (eV/cell): -67.41
Magnetization (μB/cell): 0.00
E_form (kcal/mol of atoms): -6.0

An optimized crystal structure of LiTm3Tl, computed with PBE-GGA.

```
10
Lattice="4.885 0.000 1.116 0.000 5.022 0.000 0.102 0.000 10.799" Properties=species:S:1:pos:R:3 pbc="T T T"
Li 2.402 3.766 8.027
Li 0.867 1.255 3.496
Tm 3.745 1.255 2.150
Tm 1.945 1.255 10.026
Tm 2.852 1.255 6.056
Tm 1.324 3.766 1.496
Tm 4.409 3.766 10.489
Tm 0.417 3.766 5.466
Tl 3.286 3.766 4.158
Tl 4.868 1.255 8.481
```

Final energy (eV/cell): -36.71
Magnetization (μB/cell): 0.00
Relative energy among the computed polymorphs (meV/atom): 0
E_form (kcal/mol of atoms): -3.0

An optimized crystal structure of LiTmTl, computed with PBE-GGA.

```
6
Lattice="3.479 0.000 0.000 0.000 3.479 0.000 -1.739 -1.739 12.229" Properties=species:S:1:pos:R:3 pbc="T T T"
Li 0.000 0.000 6.875
Li 1.739 1.739 5.355
Tm 1.739 1.739 1.676
Tm 0.000 0.000 10.553
Tl 0.000 0.000 3.781
Tl 1.739 1.739 8.448
```

Final energy (eV/cell): -17.83
Magnetization (μB/cell): 0.00
Relative energy among the computed polymorphs (meV/atom): 201
E_form (kcal/mol of atoms): -1.3

An optimized crystal structure of LiTm2Tl8, computed with PBE-GGA.

```
11
Lattice="-0.773 -4.775 0.234 3.728 -0.454 3.057 -7.669 1.713 9.609" Properties=species:S:1:pos:R:3 pbc="T T T"
Li 0.000 0.000 0.000
Tm -2.419 0.540 3.031
Tm -5.250 1.172 6.578
Tl -1.970 0.630 6.333
Tl -4.221 -1.531 4.922
Tl -0.923 -2.078 4.653
Tl -3.791 -1.437 8.247
Tl 0.855 -0.002 2.792
Tl -1.395 -2.162 1.381
Tl -4.796 1.261 9.874
Tl -7.047 -0.900 8.462
```

Final energy (eV/cell): -31.37
Magnetization (μB/cell): 0.00
E_form (kcal/mol of atoms): -3.3

An optimized crystal structure of LiY2TmTl4, computed with PBE-GGA.

```
8
Lattice="-0.219 0.776 -5.166 3.740 -1.941 -3.096 -3.435 -7.806 -3.673" Properties=species:S:1:pos:R:3 pbc="T T T"
Li 0.043 -4.485 -5.968
Y 0.126 -6.628 -8.939
Y -0.040 -2.341 -2.996
Tm 0.000 0.000 0.000
Tl -1.668 -7.238 -6.309
Tl 1.770 -3.983 -8.611
Tl -1.684 -4.987 -3.324
Tl 1.754 -1.732 -5.626
```

Final energy (eV/cell): -31.40
Magnetization (μB/cell): 0.00
E_form (kcal/mol of atoms): -7.6

An optimized crystal structure of Li2Y2TmTl2, computed with PBE-GGA.

```
7
Lattice="-4.090 0.706 -2.380 -0.398 -1.429 -4.549 -4.505 -8.272 0.477" Properties=species:S:1:pos:R:3 pbc="T T T"
Li -3.537 -1.938 -4.114
Li -5.456 -7.057 -2.338
Y -3.366 -5.233 -0.577
Y -5.627 -3.762 -5.874
Tm 0.000 0.000 0.000
Tl -6.868 -7.074 -4.725
Tl -2.125 -1.921 -1.727
```

Final energy (eV/cell): -27.24
Magnetization (μB/cell): 0.00
E_form (kcal/mol of atoms): -4.2

no.,V (Å³ per cell),Fermi-level density of states (states/eV/f.u.)
1,254.0,5.29
2,306.2,11.07
3,97.4,1.90
4,102.3,2.40
5,139.3,2.13
6,103.7,3.27
7,475.2,5.70
8,264.4,4.76
9,148.0,2.89
10,291.1,4.29
11,207.9,4.55
12,178.8,4.25